No. 1
Material: AgOsBr
Method: DFT, PBE-GGA
State: relaxed

Uncorrected formation energy = 1429.5 meV per atom
Energy relative to the lowest polymorph listed for this composition = 496.2 meV per atom
D(E_F) = 2.82 states/eV/f.u.

CIF file:
```
data_AgOsBr
_chemical_formula_sum 'Ag4 Os4 Br4'
_cell_length_a 6.2948
_cell_length_b 6.2948
_cell_length_c 6.2948
_cell_angle_alpha 90.00
_cell_angle_beta 90.00
_cell_angle_gamma 90.00
_space_group_name_H-M_alt 'F -4 3 m'
_space_group_IT_number 216
_space_group_name_Hall 'F -4 2 3'
loop_
_atom_site_label
_atom_site_type_symbol
_atom_site_fract_x
_atom_site_fract_y
_atom_site_fract_z
Ag1 Ag 0.0000 0.0000 0.0000
Os1 Os 0.2500 0.2500 0.2500
Br1 Br 0.0000 0.0000 0.5000
```

=====

No. 2
Material: In2GaI6
Method: DFT, PBE-GGA
State: relaxed

Uncorrected formation energy = -390.4 meV per atom
Energy relative to the lowest polymorph listed for this composition = 7.3 meV per atom
D(E_F) = 5.14 states/eV/f.u.

CIF file:
```
data_In2GaI6
_chemical_formula_sum 'In6 Ga3 I18'
_cell_length_a 7.5974
_cell_length_b 7.5974
_cell_length_c 23.2790
_cell_angle_alpha 90.00
_cell_angle_beta 90.00
_cell_angle_gamma 120.00
_space_group_name_H-M_alt 'R 3'
_space_group_IT_number 146
_space_group_name_Hall 'R 3'
loop_
_atom_site_label
_atom_site_type_symbol
_atom_site_fract_x
_atom_site_fract_y
_atom_site_fract_z
In1 In 0.0000 0.0000 0.0000
In2 In 0.0000 0.0000 0.1748
Ga1 Ga 0.0000 0.0000 0.6680
I1 I 0.0195 0.3391 0.7406
I2 I 0.0289 0.6925 0.5920
```

=====

No. 3
Material: Mg5HgRh
Method: DFT, PBE-GGA
State: relaxed

DFT formation energy = -1.8 eV per formula unit
D(E_F) = 3.86 states/eV/f.u.

CIF file:
```
data_Mg5HgRh
_chemical_formula_sum 'Mg5 Hg1 Rh1'
_cell_length_a 4.5544
_cell_length_b 4.5544
_cell_length_c 6.9660
_cell_angle_alpha 90.00
_cell_angle_beta 90.00
_cell_angle_gamma 90.00
_space_group_name_H-M_alt 'P 4/m m m'
_space_group_IT_number 123
_space_group_name_Hall '-P 4 2'
loop_
_atom_site_label
_atom_site_type_symbol
_atom_site_fract_x
_atom_site_fract_y
_atom_site_fract_z
Mg1 Mg 0.0000 0.0000 0.0000
Mg2 Mg 0.0000 0.5000 0.2949
Hg1 Hg 0.5000 0.5000 0.0000
Rh1 Rh 0.0000 0.0000 0.5000
```

=====

Number 1: magnetization 6.07 μB per cell. Number 2: magnetization 0.00 μB per cell. Number 3: magnetization 0.00 μB per cell.